# 1
This record from the Alexandria database describes a relaxed CeAl2ZnCu2 crystal. The functional is PBE-GGA.

Geometry as POSCAR:
```
CeAl2ZnCu2
1.0
-1.1923 -3.4475 -2.5594
-1.7902 -2.0152 3.5484
-4.9766 2.5218 -1.0786
Ce Al Zn Cu
1 2 1 2
direct
0.0000 0.0000 0.5000
0.5000 0.5000 0.7412
0.5000 0.5000 0.2588
0.0000 0.0000 0.0000
0.5000 0.0000 0.0000
0.0000 0.5000 0.0000
```

Calculated values
- final energy (eV per cell) = -23.141
- spin magnetization (μB/f.u.) = 0.915
- density of states at the Fermi level (states/eV per atom) = 1.476
- ΔH_f (0 K) (kcal/mol of atoms) = -1.0



# 2
This record from the Alexandria database describes a relaxed Ce2Al3ZnCu4 crystal. The functional is PBE-GGA.

Geometry as POSCAR:
```
Ce2Al3ZnCu4
1.0
-0.5368 0.7764 -4.1536
-3.5956 -2.2835 0.0379
-5.1617 8.1640 2.1931
Ce Al Zn Cu
2 3 1 4
direct
0.5000 0.0000 0.2450
0.0000 0.5000 0.7550
0.0000 0.0000 0.5000
0.5000 0.0000 0.8730
0.0000 0.5000 0.1270
0.5000 0.5000 0.5000
0.5000 0.5000 0.0000
0.0000 0.0000 0.0000
0.5000 0.0000 0.6303
0.0000 0.5000 0.3697
```

Calculated values
- final energy (eV per cell) = -43.743
- spin magnetization (μB/f.u.) = 1.369
- density of states at the Fermi level (states/eV per atom) = 1.398
- ΔH_f (0 K) (kcal/mol of atoms) = -6.9



# 3
This record from the Alexandria database describes a relaxed CeAl2ZnCu crystal. The functional is PBE-GGA.

Geometry as POSCAR:
```
CeAl2ZnCu
1.0
4.2611 0.0000 0.0000
0.0000 4.2130 0.0000
-2.1306 -2.1065 5.2246
Ce Al Zn Cu
1 2 1 1
direct
0.4476 0.4476 0.8952
0.7008 0.2008 0.4015
0.0476 0.0476 0.0952
0.1958 0.6958 0.3917
0.8203 0.8203 0.6407
```

Calculated values
- final energy (eV per cell) = -20.492
- spin magnetization (μB/f.u.) = 0.445
- density of states at the Fermi level (states/eV per atom) = 1.210
- ΔH_f (0 K) (kcal/mol of atoms) = -7.9



Please write out number 2 again, unchanged.
This record from the Alexandria database describes a relaxed Ce2Al3ZnCu4 crystal. The functional is PBE-GGA.

Geometry as POSCAR:
```
Ce2Al3ZnCu4
1.0
-0.5368 0.7764 -4.1536
-3.5956 -2.2835 0.0379
-5.1617 8.1640 2.1931
Ce Al Zn Cu
2 3 1 4
direct
0.5000 0.0000 0.2450
0.0000 0.5000 0.7550
0.0000 0.0000 0.5000
0.5000 0.0000 0.8730
0.0000 0.5000 0.1270
0.5000 0.5000 0.5000
0.5000 0.5000 0.0000
0.0000 0.0000 0.0000
0.5000 0.0000 0.6303
0.0000 0.5000 0.3697
```

Calculated values
- final energy (eV per cell) = -43.743
- spin magnetization (μB/f.u.) = 1.369
- density of states at the Fermi level (states/eV per atom) = 1.398
- ΔH_f (0 K) (kcal/mol of atoms) = -6.9